Record 1
The following is a PBE-GGA calculation of a relaxed structure of Nd2GaAu, from Alexandria via LeMat-Bulk.

Summary:
The energy of formation from the pure elements is -0.66 eV per atom. Its space group is Amm2 (38).

Unit cell a=4.6141 b=3.9979 c=11.4591 alpha=90.00 beta=90.00 gamma=90.00
Atoms (fractional coordinates):
1 Nd 0.0000 0.0000 0.0000
2 Nd 0.0000 0.5000 0.5000
3 Nd 0.5000 0.0000 0.2833
4 Nd 0.5000 0.5000 0.7833
5 Ga 0.0000 0.0000 0.7218
6 Ga 0.0000 0.5000 0.2218
7 Au 0.5000 0.0000 0.5638
8 Au 0.5000 0.5000 0.0638

---

Record 2
The following is a PBE-GGA calculation of a relaxed structure of Zr2PaTaC4, from Alexandria via LeMat-Bulk.

Summary:
The energy of formation from the pure elements is -0.36 eV per atom. Its space group is Cmcm (63).

Unit cell a=6.1103 b=6.1103 c=11.7980 alpha=90.00 beta=90.00 gamma=148.12
Atoms (fractional coordinates):
1 Zr 0.1318 0.8682 0.5322
2 Zr 0.1318 0.8682 0.9678
3 Zr 0.8682 0.1318 0.0322
4 Zr 0.8682 0.1318 0.4678
5 Pa 0.3669 0.6331 0.7500
6 Pa 0.6331 0.3669 0.2500
7 Ta 0.3664 0.6336 0.2500
8 Ta 0.6336 0.3664 0.7500
9 C 0.0236 0.9764 0.7500
10 C 0.2442 0.7558 0.1220
11 C 0.2442 0.7558 0.3780
12 C 0.5000 0.5000 0.0000
13 C 0.5000 0.5000 0.5000
14 C 0.7558 0.2442 0.6220
15 C 0.7558 0.2442 0.8780
16 C 0.9764 0.0236 0.2500

---

Record 3
The following is a PBE-GGA calculation of a relaxed structure of CaZnW, from Alexandria via LeMat-Bulk.

Summary:
The energy of formation from the pure elements is 0.60 eV per atom. The value obtained for the distance to the lowest polymorph of the same formula is 0.105 eV per atom. Its space group is Imm2 (44).

Unit cell a=2.8933 b=3.7705 c=11.0723 alpha=90.00 beta=90.00 gamma=90.00
Atoms (fractional coordinates):
1 Ca 0.0000 0.0000 0.0000
2 Ca 0.5000 0.5000 0.5000
3 Zn 0.0000 0.0000 0.3062
4 Zn 0.5000 0.5000 0.8062
5 W 0.0000 0.0000 0.7000
6 W 0.5000 0.5000 0.2000

---

Record 4
The following is a PBE-GGA calculation of a relaxed structure of Sc3Cu2Ru, from Alexandria via LeMat-Bulk.

Summary:
The energy of formation from the pure elements is -0.41 eV per atom. Its space group is Cmmm (65).

Unit cell a=7.2461 b=7.2461 c=6.4957 alpha=90.00 beta=90.00 gamma=143.03
Atoms (fractional coordinates):
1 Sc 0.0000 0.0000 0.2444
2 Sc 0.0000 0.0000 0.7556
3 Sc 0.3310 0.6690 0.2425
4 Sc 0.3310 0.6690 0.7575
5 Sc 0.6690 0.3310 0.2425
6 Sc 0.6690 0.3310 0.7575
7 Cu 0.1659 0.8341 0.5000
8 Cu 0.5000 0.5000 0.0000
9 Cu 0.5000 0.5000 0.5000
10 Cu 0.8341 0.1659 0.5000
11 Ru 0.1651 0.8349 0.0000
12 Ru 0.8349 0.1651 0.0000

---

Record 5
The following is a PBE-GGA calculation of a relaxed structure of BeSi2H, from Alexandria via LeMat-Bulk.

Summary:
The value obtained for the distance to the lowest polymorph of the same formula is 0.081 eV per atom. Its space group is P1 (1).

Unit cell a=3.8678 b=3.8924 c=8.3469 alpha=88.24 beta=78.49 gamma=60.33
Atoms (fractional coordinates):
1 Be 0.0000 0.0000 0.0000
2 Be 0.3332 0.2859 0.0010
3 Si 0.0022 0.7795 0.6407
4 Si 0.1734 0.7233 0.3478
5 Si 0.2842 0.1362 0.7404
6 Si 0.5561 0.0411 0.2468
7 H 0.3727 0.6296 0.9865
8 H 0.9921 0.2986 0.1062

---

Record 6
The following is a PBE-GGA calculation of a relaxed structure of RbBrF2, from Alexandria via LeMat-Bulk.

Summary:
The value obtained for the distance to the lowest polymorph of the same formula is 0.634 eV per atom. The value obtained for the energy relative to the elements, uncorrected is -4.6 eV/f.u. Its space group is Fm-3m (225).

Unit cell a=6.8966 b=6.8966 c=6.8966 alpha=90.00 beta=90.00 gamma=90.00
Atoms (fractional coordinates):
1 Rb 0.0000 0.0000 0.0000
2 Rb 0.0000 0.5000 0.5000
3 Rb 0.5000 0.0000 0.5000
4 Rb 0.5000 0.5000 0.0000
5 Br 0.0000 0.0000 0.5000
6 Br 0.0000 0.5000 0.0000
7 Br 0.5000 0.0000 0.0000
8 Br 0.5000 0.5000 0.5000
9 F 0.2500 0.2500 0.2500
10 F 0.2500 0.2500 0.7500
11 F 0.2500 0.7500 0.2500
12 F 0.2500 0.7500 0.7500
13 F 0.7500 0.2500 0.2500
14 F 0.7500 0.2500 0.7500
15 F 0.7500 0.7500 0.2500
16 F 0.7500 0.7500 0.7500

---

Number 1: total DFT energy (no corrections) -4.62 eV/atom, DOS(E_F) 7.4 states/eV per cell. Number 2: total DFT energy (no corrections) -9.77 eV/atom, DOS(E_F) 7.9 states/eV per cell. Number 3: total DFT energy (no corrections) -4.81 eV/atom, DOS(E_F) 4.9 states/eV per cell. Number 4: total DFT energy (no corrections) -6.48 eV/atom, DOS(E_F) 8.4 states/eV per cell. Number 5: total DFT energy (no corrections) -4.34 eV/atom, DOS(E_F) 0.2 states/eV per cell. Number 6: total DFT energy (no corrections) -2.74 eV/atom, DOS(E_F) 7.8 states/eV per cell.